1.
Below is an optimized crystal structure of SmGdIrRh, with properties calculated at the PBE level.

Values from the calculation:
Spin magnetization: 6.96 μB/f.u.

abc: 6.961 6.961 6.961
angles: 90.00 90.00 90.00
Space group F-43m (No. 216)
One atom of each set of equivalent atoms:
Sm: 0.000 0.000 0.000
Gd: 0.000 0.000 0.500
Ir: 0.250 0.250 0.250
Rh: 0.250 0.250 0.750



2.
Below is an optimized crystal structure of BaP2Ir, with properties calculated at the PBE level.

Values from the calculation:
Spin magnetization: 0.00 μB/f.u.

abc: 3.434 3.447 7.135
angles: 90.00 90.00 90.00
Space group Pmm2 (No. 25)
One atom of each set of equivalent atoms:
Ba: 0.000 0.000 0.000
P: 0.000 0.000 0.536
P: 0.500 0.500 0.291
Ir: 0.500 0.500 0.615



| no. | VASP energy (eV per atom) | DOS at the Fermi energy (states/eV/cell) |
| --- | --- | --- |
| 1 | -9.499 | 7.07 |
| 2 | -5.420 | 2.56 |